{
  "formula": "KCrAgO4",
  "functional": "PBE+U",
  "state": "relaxed",
  "lattice_angstrom": [[5.885, 0.000, -0.063], [0.000, 6.472, 0.000], [-2.419, 0.000, 6.536]],
  "species": ["O", "Cr", "O", "O", "Ag", "O", "O", "Ag", "Cr", "O", "K", "O", "O", "K"],
  "frac_coords": [[0.666, 0.250, 0.397], [0.288, 0.750, 0.352], [0.126, 0.960, 0.242], [0.126, 0.540, 0.242], [0.072, 0.250, 0.434], [0.874, 0.460, 0.758], [0.874, 0.040, 0.758], [0.928, 0.750, 0.566], [0.712, 0.250, 0.648], [0.334, 0.750, 0.603], [0.714, 0.750, 0.974], [0.552, 0.750, 0.311], [0.448, 0.250, 0.689], [0.286, 0.250, 0.026]],
  "total_energy_ev_per_fu": -39.61,
  "sg": "P2_1/m",
  "total_magnetization_mub_per_fu": 0.0
}